Density functional theory data (PBE with a Hubbard U) for an optimized crystal structure of LiFeF3.

a = 11.025 Å, b = 9.085 Å, c = 5.717 Å
α = 90.00°, β = 112.36°, γ = 90.00°
Space group C2/c (No. 15)
Symmetry-distinct sites (fractional):
Li 0.207 0.079 0.179 [8 per cell]
Fe 0.000 0.218 0.750 [4 per cell]
Fe 0.000 0.406 0.250 [4 per cell]
F 0.098 0.250 0.140 [8 per cell]
F 0.102 0.415 0.665 [8 per cell]
F 0.149 0.072 0.824 [8 per cell]

Computed properties:
As for the calculated volume: 530 Å³/cell. For the magnetic moment, the calculation gives 4.0 μB per formula unit. As for the energy: -5.2455 eV/atom. The calculation puts the offset from the most stable computed form at 36 meV/atom.